Record 1
Compound: AcPuInO6
Source: Alexandria via LeMat-Bulk
Functional: GGA-PBE
Structure: relaxed

Total DFT energy (no corrections) (eV/atom): -8.1661
Space-group type: P-31c (163)

Cell: 5.6118 5.6118 10.8126 Å, 90.00 90.00 120.00°
With the nearest neighbours (Å) after each atom.
Sites, in units of the cell vectors:
1 Ac 0.0000 0.0000 0.0000  6 O 2.54
2 Ac 0.0000 0.0000 0.5000  6 O 2.54
3 Pu 0.3333 0.6667 0.2500  6 O 2.08
4 Pu 0.6667 0.3333 0.7500  6 O 2.08
5 In 0.3333 0.6667 0.7500  6 O 2.21
6 In 0.6667 0.3333 0.2500  6 O 2.21
7 O 0.0168 0.3685 0.1420  1 Pu 2.08, 1 In 2.21
8 O 0.0168 0.6483 0.3580  1 Pu 2.08, 1 In 2.21
9 O 0.3517 0.3685 0.3580  1 Pu 2.08, 1 In 2.21
10 O 0.3517 0.9832 0.1420  1 Pu 2.08, 1 In 2.21
11 O 0.3685 0.0168 0.6420  1 Pu 2.08, 1 In 2.21
12 O 0.3685 0.3517 0.8580  1 Pu 2.08, 1 In 2.21
13 O 0.6315 0.6483 0.1420  1 Pu 2.08, 1 In 2.21
14 O 0.6315 0.9832 0.3580  1 Pu 2.08, 1 In 2.21
15 O 0.6483 0.0168 0.8580  1 Pu 2.08, 1 In 2.21
16 O 0.6483 0.6315 0.6420  1 Pu 2.08, 1 In 2.21
17 O 0.9832 0.3517 0.6420  1 Pu 2.08, 1 In 2.21
18 O 0.9832 0.6315 0.8580  1 Pu 2.08, 1 In 2.21


Record 2
Compound: Pm4Cd5Ag2
Source: Alexandria via LeMat-Bulk
Functional: GGA-PBE
Structure: relaxed

Energy of formation from the pure elements (eV/atom): -0.265
Space-group type: P2/m (10)

Cell: 7.8856 3.5862 10.2254 Å, 90.00 94.42 90.00°
With the nearest neighbours (Å) after each atom.
Sites, in units of the cell vectors:
1 Pm 0.1673 0.0000 0.3762  2 Ag 3.11, 8 Cd 3.35-3.42
2 Pm 0.2624 0.0000 0.9434  4 Ag 3.17, 6 Cd 3.38-3.41
3 Pm 0.7376 0.0000 0.0566  4 Ag 3.17, 6 Cd 3.38-3.41
4 Pm 0.8327 0.0000 0.6238  2 Ag 3.11, 8 Cd 3.35-3.42
5 Cd 0.1945 0.5000 0.6604  1 Ag 3.01, 2 Cd 3.02-3.11, 2 Pm 3.37
6 Cd 0.4410 0.5000 0.2008  1 Ag 3.02, 2 Cd 3.06-3.11, 2 Pm 3.38
7 Cd 0.5000 0.5000 0.5000  4 Cd 3.02-3.06, 4 Pm 3.35
8 Cd 0.5590 0.5000 0.7992  1 Ag 3.02, 2 Cd 3.06-3.11, 2 Pm 3.38
9 Cd 0.8056 0.5000 0.3396  1 Ag 3.01, 2 Cd 3.02-3.11, 2 Pm 3.37
10 Ag 0.0615 0.5000 0.1357  1 Ag 2.87, 2 Cd 3.01-3.02, 6 Pm 3.11-3.17
11 Ag 0.9385 0.5000 0.8643  1 Ag 2.87, 2 Cd 3.01-3.02, 6 Pm 3.11-3.17


Record 3
Compound: BaReAg2
Source: Alexandria via LeMat-Bulk
Functional: GGA-PBE
Structure: relaxed

Energy of formation from the pure elements (eV/atom): 0.834
ΔE to the lowest computed polymorph (meV/atom): 36
Space-group type: C2/m (12)

Cell: 9.9603 2.9377 6.3615 Å, 90.00 97.64 90.00°
With the nearest neighbours (Å) after each atom.
Sites, in units of the cell vectors:
1 Ba 0.0000 0.0000 0.0000  2 Ba 2.94
2 Ba 0.5000 0.5000 0.0000  2 Ba 2.94
3 Re 0.0000 0.5000 0.5000  6 Ag 2.86-3.02, 2 Re 2.94
4 Re 0.5000 0.0000 0.5000  6 Ag 2.86-3.02, 2 Re 2.94
5 Ag 0.2343 0.0000 0.6802  4 Ag 2.78-2.94, 3 Re 2.86-3.02
6 Ag 0.2657 0.5000 0.3198  4 Ag 2.78-2.94, 3 Re 2.86-3.02
7 Ag 0.7343 0.5000 0.6802  4 Ag 2.78-2.94, 3 Re 2.86-3.02
8 Ag 0.7657 0.0000 0.3198  4 Ag 2.78-2.94, 3 Re 2.86-3.02


Record 4
Compound: Nd12Dy7Sc
Source: Alexandria via LeMat-Bulk
Functional: GGA-PBE
Structure: relaxed

Energy of formation from the pure elements (eV/atom): 0.104
ΔE to the lowest computed polymorph (meV/atom): 0
Space-group type: R-3 (148)

Cell: 8.8655 8.8655 8.8655 Å, 98.63 98.63 98.63°
With the nearest neighbours (Å) after each atom.
Sites, in units of the cell vectors:
1 Nd 0.0004 0.2614 0.7384  6 Nd 3.44-3.63, 5 Dy 3.52-3.62
2 Nd 0.9996 0.7386 0.2616  6 Nd 3.44-3.63, 5 Dy 3.52-3.62
3 Nd 0.1458 0.4100 0.1466  6 Nd 3.44-3.63, 1 Dy 3.64
4 Nd 0.1466 0.1458 0.4100  6 Nd 3.44-3.63, 1 Dy 3.64
5 Nd 0.2614 0.7384 0.0004  6 Nd 3.44-3.63, 5 Dy 3.52-3.62
6 Nd 0.2616 0.9996 0.7386  6 Nd 3.44-3.63, 5 Dy 3.52-3.62
7 Nd 0.4100 0.1466 0.1458  6 Nd 3.44-3.63, 1 Dy 3.64
8 Nd 0.5900 0.8534 0.8542  6 Nd 3.44-3.63, 1 Dy 3.64
9 Nd 0.7384 0.0004 0.2614  6 Nd 3.44-3.63, 5 Dy 3.52-3.62
10 Nd 0.7386 0.2616 0.9996  6 Nd 3.44-3.63, 5 Dy 3.52-3.62
11 Nd 0.8534 0.8542 0.5900  6 Nd 3.44-3.63, 1 Dy 3.64
12 Nd 0.8542 0.5900 0.8534  6 Nd 3.44-3.63, 1 Dy 3.64
13 Dy 0.0000 0.0000 0.0000  12 Nd 3.52-3.64
14 Dy 0.1668 0.5889 0.5886  3 Dy 3.19-3.54, 1 Sc 3.34
15 Dy 0.4111 0.4114 0.8332  3 Dy 3.19-3.54, 1 Sc 3.34
16 Dy 0.4114 0.8332 0.4111  3 Dy 3.19-3.54, 1 Sc 3.34
17 Dy 0.5886 0.1668 0.5889  3 Dy 3.19-3.54, 1 Sc 3.34
18 Dy 0.5889 0.5886 0.1668  3 Dy 3.19-3.54, 1 Sc 3.34
19 Dy 0.8332 0.4111 0.4114  3 Dy 3.19-3.54, 1 Sc 3.34
20 Sc 0.5000 0.5000 0.5000  6 Dy 3.34